Here is an optimized crystal structure of Hf6CuBi3 from the Alexandria database. Energies are from PBE-GGA.

Results
* V: 23.68 A^3/atom
* density of states at the Fermi level: 0.72 states/eV/atom
* calculated formation energy: 31 meV per atom
* total magnetization: 0.00 μB/cell
* ρ: 12.4 g/cm3

Cell lengths 9.6899, 16.7934, 5.8214 Å; angles 90.00, 90.00, 90.00 degrees
Closest atoms and distances in Å follow each position.
Space group Cmc2_1 (No. 36)
Inequivalent atoms, fractional coordinates:
Hf: 0.0000 0.1463 0.0000 [4 per cell]  1 Cu 2.67
Hf: 0.0000 0.2098 0.4914 [4 per cell]  1 Cu 2.66, 2 Hf 2.96
Hf: 0.1883 0.3876 0.6577 [8 per cell]  1 Cu 2.66, 1 Hf 2.97
Hf: 0.2140 0.2798 0.1911 [8 per cell]  1 Cu 2.82, 3 Hf 2.96-3.01, 1 Bi 3.08
Cu: 0.0000 0.2989 0.8684 [4 per cell]  6 Hf 2.66-2.82, 1 Bi 2.92
Bi: 0.0000 0.4297 0.1989 [4 per cell]  1 Cu 2.92, 2 Hf 3.26
Bi: 0.1658 0.0529 0.6130 [8 per cell]  5 Hf 3.08-3.18, 4 Bi 3.21-3.41